{"formula": "Li2Zn5Ni2Ag", "functional": "PBE", "state": "optimized geometry", "sg": "No. 127", "dft_energy_ev_per_cell": -51.794, "dos_ef_per_ev_cell": 7.5, "cell": [[-0.509, 3.780, 0.794], [-8.534, -0.828, -1.523], [-1.309, -1.938, 8.389]], "species": ["Ni", "Ag", "Zn", "Zn", "Zn", "Ni", "Zn", "Zn", "Ni", "Li", "Zn", "Ni", "Zn", "Zn", "Ag", "Li", "Zn", "Li", "Zn", "Li"], "frac_coords": [[0.000, 0.383, 0.117], [0.000, 0.500, 0.500], [0.500, 0.925, 0.208], [0.500, 0.208, 0.075], [0.500, 0.500, 0.000], [0.000, 0.883, 0.383], [0.500, 0.575, 0.708], [0.500, 0.792, 0.925], [0.000, 0.617, 0.883], [0.000, 0.324, 0.824], [0.500, 0.708, 0.425], [0.000, 0.117, 0.617], [0.500, 0.425, 0.292], [0.500, 0.292, 0.575], [0.000, 0.000, 0.000], [0.000, 0.676, 0.176], [0.500, 0.000, 0.500], [0.000, 0.824, 0.676], [0.500, 0.075, 0.792], [0.000, 0.176, 0.324]]}